# 1
The following is a PBE-GGA calculation of a relaxed ZrTaCu2 crystal, from Alexandria via LeMat-Bulk.

Summary:
Raw total energy   -7.09 eV/atom
Formation enthalpy at 0 K   59.9 meV per atom
Total moment   0.00 μB/f.u.

abc: 4.5837 2.8445 4.9592
angles: 86.73 90.00 90.00
Fractional coordinates of all 4 atoms:
Cu (0.0000, 0.1320, 0.9578)
Cu (0.5000, 0.1260, 0.3017)
Ta (0.0000, 0.5668, 0.4229)
Zr (0.5000, 0.6751, 0.8176)

# 2
The following is a PBE-GGA calculation of a relaxed CsNa2Hg4Bi crystal, from Alexandria via LeMat-Bulk.

Summary:
Raw total energy   -1.33 eV/atom
Formation enthalpy at 0 K   -259.6 meV per atom
Total moment   0.00 μB/f.u.

abc: 5.2937 5.2937 12.2562
angles: 77.53 77.53 60.00
Fractional coordinates of all 8 atoms:
Cs (0.0000, 0.0000, 0.0000)
Na (0.7994, 0.7994, 0.6019)
Na (0.2006, 0.2006, 0.3981)
Hg (0.4049, 0.4049, 0.7853)
Hg (0.8925, 0.8925, 0.3224)
Hg (0.1075, 0.1075, 0.6776)
Hg (0.5951, 0.5951, 0.2147)
Bi (0.5000, 0.5000, 0.5000)

# 3
The following is a PBE-GGA calculation of a relaxed Ba3O2 crystal, from Alexandria via LeMat-Bulk.

Summary:
Raw total energy   -5.07 eV/atom
Uncorrected formation energy   -1936 meV per atom
ΔE to the lowest computed polymorph   0 meV/atom
Total moment   0.00 μB/f.u.

abc: 7.9381 7.9381 8.2888
angles: 118.61 118.61 90.00
Fractional coordinates of all 10 atoms:
Ba (0.6144, 0.3477, 0.2289)
Ba (0.1311, 0.3644, 0.7289)
Ba (0.5977, 0.3644, 0.7289)
Ba (0.6144, 0.8811, 0.2289)
Ba (0.3025, 0.8025, 0.6049)
Ba (0.0525, 0.0525, 0.1049)
O (0.8719, 0.1551, 0.3102)
O (0.4051, 0.1883, 0.8102)
O (0.4383, 0.1551, 0.3102)
O (0.4051, 0.6219, 0.8102)

# 4
The following is a PBE-GGA calculation of a relaxed Na2AlTlO crystal, from Alexandria via LeMat-Bulk.

Summary:
Raw total energy   -2.19 eV/atom
Uncorrected formation energy   551 meV per atom
Total moment   1.61 μB/f.u.

abc: 5.8357 5.1122 5.8357
angles: 90.00 90.00 90.00
Site moments in Bohr magnetons follow the coordinates.
Fractional coordinates of all 5 atoms:
Na (0.0000, 0.0000, 0.5000)  0.01
Na (0.5000, 0.0000, 0.0000)  0.01
Tl (0.0000, 0.5000, 0.0000)  0.00
Al (0.0000, 0.0000, 0.0000)  0.07
O (0.5000, 0.5000, 0.5000)  0.95

# 5
The following is a PBE-GGA calculation of a relaxed BaCrN2 crystal, from Alexandria via LeMat-Bulk.

Summary:
Raw total energy   -6.16 eV/atom
Uncorrected formation energy   891 meV per atom
Total moment   2.00 μB/f.u.

abc: 4.4168 4.4168 4.4168
angles: 60.00 60.00 60.00
Site moments in Bohr magnetons follow the coordinates.
Fractional coordinates of all 4 atoms:
Cr (0.0000, 0.0000, 0.0000)  3.57
Ba (0.5000, 0.5000, 0.5000)  0.02
N (0.2500, 0.2500, 0.2500)  -0.70
N (0.7500, 0.7500, 0.7500)  -0.70

# 6
The following is a PBE-GGA calculation of a relaxed LaCeGeH crystal, from Alexandria via LeMat-Bulk.

Summary:
Raw total energy   -5.40 eV/atom
Total moment   0.00 μB/f.u.

abc: 4.2742 4.2742 9.2095
angles: 90.00 90.00 90.00
Fractional coordinates of all 8 atoms:
La (0.0000, 0.5000, 0.8699)
La (0.5000, 0.0000, 0.1301)
Ce (0.0000, 0.0000, 0.5000)
Ce (0.5000, 0.5000, 0.5000)
Ge (0.5000, 0.0000, 0.7387)
Ge (0.0000, 0.5000, 0.2613)
H (0.5000, 0.5000, 0.0000)
H (0.0000, 0.0000, 0.0000)